Entry 1:
A plane-wave DFT calculation with PBE-GGA was carried out for crystalline BaNa4Cu3F12 at its relaxed geometry.

Cell lengths 7.0775, 7.0775, 7.0775 Å; angles 109.47, 109.47, 109.47 degrees
Site moments in Bohr magnetons follow the coordinates.
Sites, in units of the cell vectors:
1 Ba 0.0000 0.0000 0.0000  0.00
2 Na 0.5000 0.0000 0.0000  0.00
3 Na 0.5000 0.5000 0.5000  0.00
4 Na 0.0000 0.5000 0.0000  0.00
5 Na 0.0000 0.0000 0.5000  0.00
6 Cu 0.0000 0.5000 0.5000  0.69
7 Cu 0.5000 0.5000 0.0000  0.69
8 Cu 0.5000 0.0000 0.5000  0.69
9 F 0.3232 0.8442 0.1675  0.07
10 F 0.6768 0.1558 0.8325  0.07
11 F 0.6768 0.8442 0.5210  0.07
12 F 0.8325 0.6768 0.1558  0.07
13 F 0.8442 0.1675 0.3232  0.07
14 F 0.1558 0.4790 0.3232  0.07
15 F 0.4790 0.3232 0.1558  0.07
16 F 0.1558 0.8325 0.6768  0.07
17 F 0.3232 0.1558 0.4790  0.07
18 F 0.1675 0.3232 0.8442  0.07
19 F 0.8442 0.5210 0.6768  0.07
20 F 0.5210 0.6768 0.8442  0.07

Calculated values
For the theoretical density, the calculation gives 3.942 g/cm3. As for the energy: -4.47 eV per atom. The crystal system is cubic. Its space group is Im-3, No. 204. The uncorrected formation energy comes out at -2373 meV per atom. Its total magnetization is 2.99 μB per formula unit.

=====

Entry 2:
A plane-wave DFT calculation with PBE-GGA was carried out for crystalline CaAc2LaDy at its relaxed geometry.

Cell lengths 6.3351, 9.2428, 7.3821 Å; angles 97.29, 90.00, 90.00 degrees
Sites, in units of the cell vectors:
1 Ca 0.5130 0.0000 0.2500
2 Ca 0.4870 0.0000 0.7500
3 Ac 0.5963 0.6699 0.9133
4 Ac 0.5963 0.3301 0.5867
5 Ac 0.4037 0.6699 0.4133
6 Ac 0.4037 0.3301 0.0867
7 La 0.0000 0.0000 0.0000
8 La 0.0000 0.0000 0.5000
9 Dy 0.0913 0.5000 0.7500
10 Dy 0.9087 0.5000 0.2500

Calculated values
For the theoretical density, the calculation gives 6.162 g/cm3. As for the energy: -3.57 eV per atom. Its formation energy from the elements is 0.382 eV per atom. The crystal system is monoclinic. Its space group is P2/c, No. 13. The density of states at the Fermi level is 7.394 states/eV/f.u. Its total magnetization is 0.00 μB per formula unit.

=====

Entry 3:
A plane-wave DFT calculation with PBE-GGA was carried out for crystalline HoAg2Pb2 at its relaxed geometry.

Cell lengths 4.5694, 4.5586, 11.8095 Å; angles 90.00, 101.15, 90.00 degrees
Sites, in units of the cell vectors:
1 Ho 0.3631 0.2500 0.7262
2 Ho 0.6369 0.7500 0.2738
3 Ag 0.0387 0.7500 0.0773
4 Ag 0.4619 0.7500 0.9239
5 Ag 0.9613 0.2500 0.9227
6 Ag 0.5381 0.2500 0.0761
7 Pb 0.7499 0.2500 0.4998
8 Pb 0.2501 0.7500 0.5002
9 Pb 0.8771 0.7500 0.7542
10 Pb 0.1229 0.2500 0.2458

Calculated values
For the theoretical density, the calculation gives 10.941 g/cm3. As for the energy: -3.74 eV per atom. Its formation energy from the elements is -0.196 eV per atom. The crystal system is orthorhombic. Its space group is Cmcm, No. 63. The density of states at the Fermi level is 2.330 states/eV/f.u. Its total magnetization is 0.00 μB per formula unit.

=====

Entry 4:
A plane-wave DFT calculation with PBE-GGA was carried out for crystalline Pm4Zn2Cu at its relaxed geometry.

Cell lengths 6.2407, 6.2407, 6.2407 Å; angles 109.28, 109.57, 109.57 degrees
Sites, in units of the cell vectors:
1 Zn 0.5000 0.5000 0.0000
2 Zn 0.5000 0.0000 0.5000
3 Cu 0.0000 0.0000 0.0000
4 Pm 0.5000 0.0000 0.0000
5 Pm 0.5000 0.5000 0.5000
6 Pm 0.0000 0.0000 0.5000
7 Pm 0.0000 0.5000 0.0000

Calculated values
For the theoretical density, the calculation gives 6.873 g/cm3. As for the energy: -3.80 eV per atom. Its formation energy from the elements is -0.131 eV per atom. The crystal system is tetragonal. Its space group is I4/mmm, No. 139. The density of states at the Fermi level is 9.231 states/eV/f.u. Its total magnetization is 0.00 μB per formula unit.

=====

Entry 5:
A plane-wave DFT calculation with PBE-GGA was carried out for crystalline NdEr4Th at its relaxed geometry.

Cell lengths 3.5513, 9.3878, 11.7499 Å; angles 148.71, 90.05, 100.92 degrees
Sites, in units of the cell vectors:
1 Nd 0.5000 0.0000 0.5000
2 Er 0.8282 0.6558 0.4951
3 Er 0.1717 0.3441 0.5049
4 Er 0.3387 0.6780 0.0056
5 Er 0.6613 0.3220 0.9944
6 Th 0.0000 0.0000 0.0000

Calculated values
For the theoretical density, the calculation gives 9.168 g/cm3. As for the energy: -5.05 eV per atom. Its formation energy from the elements is 0.023 eV per atom. The crystal system is triclinic. Its space group is P-1, No. 2. The value obtained for the relative energy among the computed polymorphs is 0.000 eV/atom. The density of states at the Fermi level is 7.854 states/eV/f.u. Its total magnetization is 0.00 μB per formula unit.

=====

Entry 6:
A plane-wave DFT calculation with PBE-GGA was carried out for crystalline TlSi2O at its relaxed geometry.

Cell lengths 4.5490, 4.5490, 4.5490 Å; angles 60.00, 60.00, 60.00 degrees
Sites, in units of the cell vectors:
1 Tl 0.5000 0.5000 0.5000
2 Si 0.2500 0.2500 0.2500
3 Si 0.7500 0.7500 0.7500
4 O 0.0000 0.0000 0.0000

Calculated values
For the theoretical density, the calculation gives 6.899 g/cm3. As for the energy: -3.80 eV per atom. The crystal system is cubic. Its space group is Fm-3m, No. 225. The value obtained for the relative energy among the computed polymorphs is 0.820 eV/atom. The density of states at the Fermi level is 3.082 states/eV/f.u. The uncorrected formation energy comes out at 742 meV per atom. Its total magnetization is 0.00 μB per formula unit.

=====

Entry 7:
A plane-wave DFT calculation with PBE-GGA was carried out for crystalline Na2CaY at its relaxed geometry.

Cell lengths 5.8475, 5.8475, 5.8475 Å; angles 60.00, 60.00, 60.00 degrees
Sites, in units of the cell vectors:
1 Y 0.5000 0.5000 0.5000
2 Na 0.2500 0.2500 0.2500
3 Na 0.7500 0.7500 0.7500
4 Ca 0.0000 0.0000 0.0000

Calculated values
For the theoretical density, the calculation gives 2.055 g/cm3. As for the energy: -2.47 eV per atom. Its formation energy from the elements is 0.303 eV per atom. The crystal system is cubic. Its space group is Fm-3m, No. 225. The value obtained for the relative energy among the computed polymorphs is 0.026 eV/atom. The density of states at the Fermi level is 4.903 states/eV/f.u. Its total magnetization is 0.00 μB per formula unit.

=====

Entry 8:
A plane-wave DFT calculation with PBE-GGA was carried out for crystalline Pm8Ir2O at its relaxed geometry.

Cell lengths 3.9973, 6.5432, 13.6404 Å; angles 113.52, 98.43, 90.00 degrees
Sites, in units of the cell vectors:
1 Pm 0.4409 0.5860 0.8818
2 Pm 0.6877 0.9759 0.3754
3 Pm 0.8130 0.5467 0.6259
4 Pm 0.9435 0.0513 0.8871
5 Pm 0.1870 0.4533 0.3741
6 Pm 0.3123 0.0241 0.6246
7 Pm 0.5591 0.4140 0.1182
8 Pm 0.0565 0.9487 0.1129
9 Ir 0.8762 0.2952 0.7524
10 Ir 0.1238 0.7048 0.2476
11 O 0.5000 0.0000 0.0000

Calculated values
For the theoretical density, the calculation gives 8.024 g/cm3. As for the energy: -6.26 eV per atom. The crystal system is monoclinic. Its space group is C2/m, No. 12. The density of states at the Fermi level is 10.683 states/eV/f.u. The uncorrected formation energy comes out at -742 meV per atom. Its total magnetization is 0.00 μB per formula unit.

=====

Question: What is the energy in the first record?
Answer: -4.47 eV per atom

=====

Question: What is the formula in the seventh record?
Answer: Na2CaY

=====

Question: Look up the energy of the first one.
Answer: -4.47 eV per atom